--- A ---
First-principles (PBE) data for a relaxed LaAlTc3 crystal, as listed in Alexandria via LeMat-Bulk.

Geometry as extended XYZ:
```
5
Lattice="4.776 0.000 0.000 0.000 4.776 0.000 0.000 0.000 4.776" Properties=species:S:1:pos:R:3 pbc="T T T"
La 0.000 0.000 0.000
Al 2.388 2.388 2.388
Tc 0.000 0.000 2.388
Tc 0.000 2.388 0.000
Tc 2.388 0.000 0.000
```

Properties
- total magnetization (Bohr magnetons per cell) = 2.092
- DOS(E_F) (states/eV/cell) = 7.097

---

--- B ---
First-principles (PBE) data for a relaxed LaAlTc3 crystal, as listed in Alexandria via LeMat-Bulk.

Geometry as extended XYZ:
```
5
Lattice="4.651 0.000 0.000 0.000 4.651 0.000 0.000 0.000 4.651" Properties=species:S:1:pos:R:3 pbc="T T T"
La 0.000 0.000 0.000
Al 2.326 2.326 2.326
Tc 0.000 2.326 2.326
Tc 2.326 0.000 2.326
Tc 2.326 2.326 0.000
```

Properties
- total magnetization (Bohr magnetons per cell) = 2.658
- DOS(E_F) (states/eV/cell) = 7.148

---

Least stable of them? A.

---

--- A ---
First-principles (PBE) data for a relaxed LaAl2Tc crystal, as listed in Alexandria via LeMat-Bulk.

Geometry as extended XYZ:
```
4
Lattice="4.252 -1.880 0.000 4.252 1.880 0.000 -1.813 0.000 5.415" Properties=species:S:1:pos:R:3 pbc="T T T"
La 0.000 0.000 0.000
Al 0.703 0.000 3.447
Al 5.988 0.000 1.968
Tc 3.345 0.000 2.707
```

Properties
- total magnetization (Bohr magnetons per cell) = 0.000
- DOS(E_F) (states/eV/cell) = 2.307

---

--- B ---
First-principles (PBE) data for a relaxed LaAl2Tc crystal, as listed in Alexandria via LeMat-Bulk.

Geometry as extended XYZ:
```
4
Lattice="4.063 0.000 0.000 0.000 4.063 0.000 0.000 0.000 4.795" Properties=species:S:1:pos:R:3 pbc="T T T"
La 0.000 0.000 0.000
Al 0.000 2.031 2.397
Al 2.031 0.000 2.397
Tc 2.031 2.031 0.000
```

Properties
- total magnetization (Bohr magnetons per cell) = 0.000
- DOS(E_F) (states/eV/cell) = 3.668

---

--- C ---
First-principles (PBE) data for a relaxed LaAl2Tc crystal, as listed in Alexandria via LeMat-Bulk.

Geometry as extended XYZ:
```
4
Lattice="1.539 0.888 9.620 -1.539 0.888 9.620 0.000 -1.777 9.620" Properties=species:S:1:pos:R:3 pbc="T T T"
La 0.000 0.000 0.000
Al 0.000 0.000 6.701
Al 0.000 0.000 14.042
Tc 0.000 0.000 21.792
```

Properties
- total magnetization (Bohr magnetons per cell) = 0.662
- DOS(E_F) (states/eV/cell) = 3.048

---

Least stable of them? C.

---

--- A ---
First-principles (PBE) data for a relaxed LaAl2Tc crystal, as listed in Alexandria via LeMat-Bulk.

Geometry as extended XYZ:
```
4
Lattice="3.134 0.000 0.000 0.000 3.990 0.000 -0.919 0.000 6.617" Properties=species:S:1:pos:R:3 pbc="T T T"
La 0.000 0.000 0.000
Al 0.691 0.000 2.943
Al 0.617 1.995 4.558
Tc 2.204 1.995 2.307
```

Properties
- total magnetization (Bohr magnetons per cell) = 0.000
- DOS(E_F) (states/eV/cell) = 3.602

---

--- B ---
First-principles (PBE) data for a relaxed LaAl2Tc crystal, as listed in Alexandria via LeMat-Bulk.

Geometry as extended XYZ:
```
4
Lattice="-1.700 2.543 4.818 1.700 -2.543 4.818 1.700 2.543 -4.818" Properties=species:S:1:pos:R:3 pbc="T T T"
La 0.000 0.000 0.000
Al 1.700 0.000 2.792
Al 0.000 2.543 2.027
Tc 0.000 0.000 4.818
```

Properties
- total magnetization (Bohr magnetons per cell) = 0.000
- DOS(E_F) (states/eV/cell) = 1.995

---

Least stable of them? B.

---

--- A ---
First-principles (PBE) data for a relaxed LaAl2Tc crystal, as listed in Alexandria via LeMat-Bulk.

Geometry as extended XYZ:
```
8
Lattice="-2.447 2.447 8.571 2.447 -2.447 8.571 2.447 2.447 -8.571" Properties=species:S:1:pos:R:3 pbc="T T T"
La 0.000 0.000 0.000
La 0.000 2.447 4.285
Al 1.224 -0.111 6.428
Al 2.337 1.224 2.143
Al 1.224 2.558 -2.143
Al 0.111 1.224 10.713
Tc 2.447 0.000 4.285
Tc 0.000 0.000 8.571
```

Properties
- total magnetization (Bohr magnetons per cell) = 0.000
- DOS(E_F) (states/eV/cell) = 7.732

---

--- B ---
First-principles (PBE) data for a relaxed LaAl2Tc crystal, as listed in Alexandria via LeMat-Bulk.

Geometry as extended XYZ:
```
4
Lattice="0.000 3.396 3.396 3.396 0.000 3.396 3.396 3.396 0.000" Properties=species:S:1:pos:R:3 pbc="T T T"
La 0.000 0.000 0.000
Al 1.698 1.698 1.698
Al 5.094 5.094 5.094
Tc 3.396 3.396 3.396
```

Properties
- total magnetization (Bohr magnetons per cell) = 0.000
- DOS(E_F) (states/eV/cell) = 5.703

---

Least stable of them? A.

---

--- A ---
First-principles (PBE) data for a relaxed LaAl4Tc crystal, as listed in Alexandria via LeMat-Bulk.

Geometry as extended XYZ:
```
6
Lattice="0.000 3.811 3.811 3.811 0.000 3.811 3.811 3.811 0.000" Properties=species:S:1:pos:R:3 pbc="T T T"
La 0.000 0.000 0.000
Al 2.862 2.862 2.862
Al 4.760 4.760 2.862
Al 4.760 2.862 4.760
Al 2.862 4.760 4.760
Tc 5.717 5.717 5.717
```

Properties
- total magnetization (Bohr magnetons per cell) = 0.000
- DOS(E_F) (states/eV/cell) = 5.485

---

--- B ---
First-principles (PBE) data for a relaxed LaAl4Tc crystal, as listed in Alexandria via LeMat-Bulk.

Geometry as extended XYZ:
```
12
Lattice="7.875 0.000 0.000 0.000 4.233 0.000 0.000 0.000 7.062" Properties=species:S:1:pos:R:3 pbc="T T T"
La 1.969 0.000 0.908
La 5.906 0.000 6.154
Al 0.000 0.000 3.531
Al 0.525 2.117 5.660
Al 1.969 2.117 3.293
Al 3.413 2.117 5.660
Al 3.937 0.000 3.531
Al 4.462 2.117 1.402
Al 5.906 2.117 3.770
Al 7.350 2.117 1.402
Tc 1.969 0.000 4.956
Tc 5.906 0.000 2.106
```

Properties
- total magnetization (Bohr magnetons per cell) = 0.000
- DOS(E_F) (states/eV/cell) = 9.195

---

Least stable of them? A.

---

--- A ---
First-principles (PBE) data for a relaxed LaAl2Tc2 crystal, as listed in Alexandria via LeMat-Bulk.

Geometry as extended XYZ:
```
10
Lattice="7.976 0.000 0.000 0.000 7.976 0.000 0.000 0.000 2.810" Properties=species:S:1:pos:R:3 pbc="T T T"
La 0.000 0.000 0.000
La 3.988 3.988 0.000
Al 1.093 2.895 0.000
Al 2.895 6.884 0.000
Al 5.081 1.093 0.000
Al 6.884 5.081 0.000
Tc 1.194 5.182 1.405
Tc 2.794 1.194 1.405
Tc 5.182 6.782 1.405
Tc 6.782 2.794 1.405
```

Properties
- total magnetization (Bohr magnetons per cell) = 0.000
- DOS(E_F) (states/eV/cell) = 9.757

---

--- B ---
First-principles (PBE) data for a relaxed LaAl2Tc2 crystal, as listed in Alexandria via LeMat-Bulk.

Geometry as extended XYZ:
```
10
Lattice="7.620 0.000 0.000 0.000 7.620 0.000 0.000 0.000 3.033" Properties=species:S:1:pos:R:3 pbc="T T T"
La 0.000 0.000 0.000
La 3.810 3.810 0.000
Al 1.022 2.788 1.517
Al 2.788 6.598 1.517
Al 4.832 1.022 1.517
Al 6.598 4.832 1.517
Tc 1.165 4.976 0.000
Tc 2.645 1.165 0.000
Tc 4.976 6.455 0.000
Tc 6.455 2.645 0.000
```

Properties
- total magnetization (Bohr magnetons per cell) = 0.000
- DOS(E_F) (states/eV/cell) = 10.662

---

Least stable of them? A.